No. 1
VASP calculation (GGA-PBEsol) on a geometry-optimized Y4CdRu structure.

a b c (Å): 9.476 9.476 9.476
angles (deg): 60.00 60.00 60.00
Fractional coordinates of all 24 atoms:
Y1 0.810 0.190 0.810
Ru1 0.861 0.418 0.861
Y2 0.653 0.042 0.653
Y3 0.810 0.810 0.190
Y4 0.190 0.810 0.190
Ru2 0.861 0.861 0.861
Cd1 0.420 0.420 0.739
Y5 0.653 0.653 0.653
Y6 0.061 0.061 0.439
Y7 0.439 0.439 0.061
Y8 0.810 0.190 0.190
Y9 0.061 0.439 0.439
Y10 0.190 0.190 0.810
Ru3 0.861 0.861 0.418
Cd2 0.739 0.420 0.420
Y11 0.190 0.810 0.810
Cd3 0.420 0.420 0.420
Cd4 0.420 0.739 0.420
Y12 0.061 0.439 0.061
Y13 0.653 0.653 0.042
Y14 0.042 0.653 0.653
Ru4 0.418 0.861 0.861
Y15 0.439 0.061 0.061
Y16 0.439 0.061 0.439

Properties
Total magnetization ... 0.00 μB per formula unit
Formation energy ... -0.322 eV/atom
Crystal system ... cubic
ρ ... 6.28 g cm⁻³

=====

No. 2
VASP calculation (GGA-PBEsol) on a geometry-optimized CsRb3 structure.

a b c (Å): 7.183 7.183 8.620
angles (deg): 114.62 114.62 90.00
Fractional coordinates of all 4 atoms:
Cs1 0.000 0.000 0.000
Rb1 0.250 0.750 0.500
Rb2 0.750 0.250 0.500
Rb3 0.500 0.500 0.000

Properties
Total magnetization ... 0.00 μB per formula unit
Formation energy ... 0.000 eV/atom
Crystal system ... tetragonal
ρ ... 1.80 g cm⁻³

=====

No. 3
VASP calculation (GGA-PBEsol) on a geometry-optimized CsOsF2 structure.

a b c (Å): 4.676 4.676 4.676
angles (deg): 60.00 60.00 60.00
Fractional coordinates of all 4 atoms:
Cs1 0.000 0.000 0.000
Os1 0.500 0.500 0.500
F1 0.750 0.750 0.750
F2 0.250 0.250 0.250

Properties
Total magnetization ... 3.93 μB per formula unit
Crystal system ... cubic
Formation energy (no corrections) ... 135.8 meV per atom
Energy relative to the lowest polymorph listed for this composition ... 402.3 meV per atom
ρ ... 8.29 g cm⁻³

=====

No. 4
VASP calculation (GGA-PBEsol) on a geometry-optimized ZrRuPt3 structure.

a b c (Å): 4.775 4.775 4.775
angles (deg): 90.00 90.00 90.00
Fractional coordinates of all 5 atoms:
Pt1 0.500 0.000 0.000
Zr1 0.000 0.000 0.000
Ru1 0.500 0.500 0.500
Pt2 0.000 0.500 0.000
Pt3 0.000 0.000 0.500

Properties
Total magnetization ... 2.08 μB per formula unit
Formation energy ... 1.472 eV/atom
Crystal system ... cubic
ρ ... 11.86 g cm⁻³

=====

No. 5
VASP calculation (GGA-PBEsol) on a geometry-optimized Sc3ReI structure.

a b c (Å): 5.077 5.077 5.077
angles (deg): 90.00 90.00 90.00
Fractional coordinates of all 5 atoms:
Sc1 0.000 0.500 0.000
Re1 0.000 0.000 0.000
Sc2 0.000 0.000 0.500
Sc3 0.500 0.000 0.000
I1 0.500 0.500 0.500

Properties
Total magnetization ... 0.00 μB per formula unit
Crystal system ... cubic
Formation energy (no corrections) ... 212.8 meV per atom
ρ ... 5.69 g cm⁻³

=====

No. 6
VASP calculation (GGA-PBEsol) on a geometry-optimized TaBe4Mo structure.

a b c (Å): 4.505 4.505 4.505
angles (deg): 60.00 60.00 60.00
Fractional coordinates of all 6 atoms:
Be1 0.376 0.376 0.873
Mo1 0.750 0.750 0.750
Be2 0.873 0.376 0.376
Be3 0.376 0.376 0.376
Ta1 0.000 0.000 0.000
Be4 0.376 0.873 0.376

Properties
Total magnetization ... 0.00 μB per formula unit
Formation energy ... -0.266 eV/atom
Crystal system ... cubic
Energy relative to the lowest polymorph listed for this composition ... 0.0 meV per atom
ρ ... 8.04 g cm⁻³

=====

No. 7
VASP calculation (GGA-PBEsol) on a geometry-optimized AlRe2Os structure.

a b c (Å): 2.921 2.921 6.585
angles (deg): 90.00 90.00 90.00
Fractional coordinates of all 4 atoms:
Os1 0.500 0.500 0.740
Al1 0.000 0.000 0.504
Re1 0.500 0.500 0.257
Re2 0.000 0.000 0.999

Properties
Total magnetization ... 0.00 μB per formula unit
Formation energy ... -0.107 eV/atom
Crystal system ... tetragonal
ρ ... 17.43 g cm⁻³

=====

No. 8
VASP calculation (GGA-PBEsol) on a geometry-optimized NaLi2Ru6O12 structure.

a b c (Å): 2.713 9.425 9.425
angles (deg): 120.00 90.00 90.00
Fractional coordinates of all 21 atoms:
Li1 0.750 0.667 0.333
Ru1 0.750 0.658 0.642
Na1 0.000 0.000 0.000
Ru2 0.250 0.342 0.358
O1 0.750 0.813 0.108
O2 0.750 0.411 0.544
Ru3 0.750 0.984 0.342
O3 0.750 0.295 0.187
Ru4 0.250 0.016 0.658
O4 0.750 0.456 0.867
O5 0.250 0.705 0.813
Ru5 0.750 0.358 0.016
O6 0.250 0.867 0.411
O7 0.250 0.589 0.456
Li2 0.250 0.333 0.667
O8 0.250 0.544 0.133
O9 0.750 0.133 0.589
O10 0.750 0.892 0.705
Ru6 0.250 0.642 0.984
O11 0.250 0.187 0.892
O12 0.250 0.108 0.295

Properties
Total magnetization ... 0.00 μB per formula unit
Crystal system ... trigonal
Formation energy (no corrections) ... -1177.1 meV per atom
Energy relative to the lowest polymorph listed for this composition ... 24.7 meV per atom
ρ ... 6.65 g cm⁻³

=====

No. 9
VASP calculation (GGA-PBEsol) on a geometry-optimized BeAlPbC2 structure.

a b c (Å): 3.842 3.842 5.701
angles (deg): 90.00 90.00 90.00
Fractional coordinates of all 5 atoms:
Pb1 0.000 0.000 0.500
Al1 0.000 0.000 0.000
C1 0.000 0.500 0.000
Be1 0.500 0.500 0.500
C2 0.500 0.000 0.000

Properties
Total magnetization ... 0.00 μB per formula unit
Formation energy ... 1.967 eV/atom
Crystal system ... tetragonal
ρ ... 5.27 g cm⁻³

=====

No. 10
VASP calculation (GGA-PBEsol) on a geometry-optimized Ba2GeBi structure.

a b c (Å): 5.843 5.843 5.843
angles (deg): 60.00 60.00 60.00
Fractional coordinates of all 4 atoms:
Ba1 0.750 0.750 0.750
Ba2 0.250 0.250 0.250
Bi1 0.500 0.500 0.500
Ge1 0.000 0.000 0.000

Properties
Total magnetization ... 0.00 μB per formula unit
Formation energy ... -0.517 eV/atom
Crystal system ... cubic
ρ ... 6.55 g cm⁻³

=====

No. 11
VASP calculation (GGA-PBEsol) on a geometry-optimized Cu3Pt2 structure.

a b c (Å): 2.670 2.670 10.666
angles (deg): 82.81 82.81 60.00
Fractional coordinates of all 5 atoms:
Pt1 0.599 0.599 0.203
Pt2 0.401 0.401 0.797
Cu1 0.803 0.803 0.592
Cu2 0.197 0.197 0.408
Cu3 0.000 0.000 0.000

Properties
Total magnetization ... 0.00 μB per formula unit
Formation energy ... -0.114 eV/atom
Crystal system ... trigonal
Energy relative to the lowest polymorph listed for this composition ... 0.0 meV per atom
ρ ... 14.81 g cm⁻³

=====

No. 12
VASP calculation (GGA-PBEsol) on a geometry-optimized ZnCdRu2 structure.

a b c (Å): 2.887 4.521 4.515
angles (deg): 90.00 90.00 90.00
Fractional coordinates of all 4 atoms:
Zn1 0.500 0.500 0.000
Cd1 0.000 0.500 0.500
Ru1 0.000 0.000 0.000
Ru2 0.500 0.000 0.500

Properties
Total magnetization ... 0.72 μB per formula unit
Formation energy ... 0.381 eV/atom
Crystal system ... orthorhombic
ρ ... 10.71 g cm⁻³

=====

No. 13
VASP calculation (GGA-PBEsol) on a geometry-optimized MgTiMn2Co structure.

a b c (Å): 4.209 4.560 4.560
angles (deg): 90.00 90.00 90.00
Fractional coordinates of all 5 atoms:
Mg1 0.500 0.500 0.500
Mn1 0.000 0.000 0.500
Ti1 0.500 0.000 0.000
Co1 0.000 0.000 0.000
Mn2 0.000 0.500 0.000

Properties
Total magnetization ... 7.12 μB per formula unit
Formation energy ... 0.619 eV/atom
Crystal system ... tetragonal
ρ ... 4.57 g cm⁻³

=====

No. 14
VASP calculation (GGA-PBEsol) on a geometry-optimized CrReO2F structure.

a b c (Å): 3.806 3.884 3.884
angles (deg): 90.00 90.00 90.00
Fractional coordinates of all 5 atoms:
F1 0.500 0.000 0.000
Re1 0.500 0.500 0.500
Cr1 0.000 0.000 0.000
O1 0.000 0.000 0.500
O2 0.000 0.500 0.000

Properties
Total magnetization ... 7.95 μB per formula unit
Crystal system ... tetragonal
Formation energy (no corrections) ... -266.6 meV per atom
ρ ... 8.36 g cm⁻³

=====

No. 15
VASP calculation (GGA-PBEsol) on a geometry-optimized CoPRh2 structure.

a b c (Å): 2.776 2.776 6.434
angles (deg): 90.00 90.00 90.00
Fractional coordinates of all 4 atoms:
Rh1 0.000 0.000 0.275
Rh2 0.000 0.000 0.725
Co1 0.500 0.500 0.000
P1 0.500 0.500 0.500

Properties
Total magnetization ... 2.42 μB per formula unit
Formation energy ... -0.171 eV/atom
Crystal system ... tetragonal
ρ ... 9.90 g cm⁻³

=====

No. 16
VASP calculation (GGA-PBEsol) on a geometry-optimized CrAsAu2 structure.

a b c (Å): 3.527 3.646 5.865
angles (deg): 108.11 107.50 90.00
Fractional coordinates of all 4 atoms:
Au1 0.802 0.802 0.603
Au2 0.198 0.198 0.397
As1 0.500 0.000 0.000
Cr1 0.000 0.500 0.000

Properties
Total magnetization ... 3.08 μB per formula unit
Formation energy ... 0.150 eV/atom
Crystal system ... orthorhombic
ρ ... 12.72 g cm⁻³

=====

No. 17
VASP calculation (GGA-PBEsol) on a geometry-optimized Ba2CoN2 structure.

a b c (Å): 4.051 4.051 6.960
angles (deg): 106.92 106.92 90.00
Fractional coordinates of all 5 atoms:
Co1 0.000 0.000 0.000
Ba1 0.359 0.359 0.717
Ba2 0.641 0.641 0.283
N1 0.866 0.866 0.732
N2 0.134 0.134 0.268

Properties
Total magnetization ... 0.98 μB per formula unit
Crystal system ... tetragonal
Formation energy (no corrections) ... -457.6 meV per atom
ρ ... 5.77 g cm⁻³

=====

No. 18
VASP calculation (GGA-PBEsol) on a geometry-optimized LiTaGeO5 structure.

a b c (Å): 7.534 7.614 8.083
angles (deg): 90.00 90.00 119.75
Fractional coordinates of all 32 atoms:
O1 0.652 0.552 0.756
O2 0.569 0.249 0.987
O3 0.951 0.254 0.989
O4 0.748 0.249 0.682
Li1 0.793 0.750 0.942
O5 0.069 0.249 0.513
O6 0.049 0.746 0.011
O7 0.248 0.249 0.818
Li2 0.707 0.250 0.442
O8 0.848 0.949 0.756
Li3 0.293 0.750 0.558
Ge1 0.241 0.750 0.888
O9 0.652 0.051 0.256
O10 0.931 0.751 0.487
Ge2 0.741 0.750 0.612
O11 0.752 0.751 0.182
O12 0.848 0.448 0.256
O13 0.152 0.552 0.744
O14 0.152 0.051 0.244
O15 0.252 0.751 0.318
O16 0.348 0.448 0.244
Li4 0.207 0.250 0.058
Ta1 0.005 0.750 0.258
O17 0.431 0.751 0.013
Ge3 0.259 0.250 0.388
O18 0.348 0.949 0.744
Ta2 0.505 0.750 0.242
Ge4 0.759 0.250 0.112
O19 0.451 0.254 0.511
O20 0.549 0.746 0.489
Ta3 0.995 0.250 0.742
Ta4 0.495 0.250 0.758

Properties
Total magnetization ... 0.00 μB per formula unit
Crystal system ... monoclinic
Formation energy (no corrections) ... -2331.9 meV per atom
ρ ... 5.62 g cm⁻³

=====

No. 19
VASP calculation (GGA-PBEsol) on a geometry-optimized EuHCl structure.

a b c (Å): 3.919 3.919 6.772
angles (deg): 90.00 90.00 90.00
Fractional coordinates of all 6 atoms:
Eu1 0.000 0.500 0.798
Eu2 0.500 0.000 0.202
Cl1 0.500 0.000 0.650
Cl2 0.000 0.500 0.350
H1 0.500 0.500 0.000
H2 0.000 0.000 0.000

Properties
Total magnetization ... 7.00 μB per formula unit
Crystal system ... tetragonal
ρ ... 6.02 g cm⁻³

=====

No. 20
VASP calculation (GGA-PBEsol) on a geometry-optimized KCoSi2 structure.

a b c (Å): 2.840 3.986 7.024
angles (deg): 96.45 90.00 110.87
Fractional coordinates of all 4 atoms:
Co1 0.500 0.000 0.000
K1 0.000 0.000 0.500
Si1 0.227 0.454 0.140
Si2 0.773 0.546 0.860

Properties
Total magnetization ... 0.42 μB per formula unit
Crystal system ... monoclinic
Formation energy (no corrections) ... -49.3 meV per atom
Energy relative to the lowest polymorph listed for this composition ... 0.0 meV per atom
ρ ... 3.47 g cm⁻³

=====

Respective E_tot values: -6.765, -1.005, -4.118, -6.558, -6.770, -6.985, -10.849, -7.337, -4.309, -3.898, -5.500, -5.400, -6.840, -7.467, -7.622, -5.649, -6.275, -8.045, -6.842, -5.140 eV/atom.